1.
A geometry-optimized SmErPO structure. Source: OQMD, functional PBE. Values from VASP.

Quantum ESPRESSO input file:
```
&SYSTEM
  ibrav = 0, nat = 8, ntyp = 4
/
ATOMIC_SPECIES
P 30.97 P.upf
O 16.00 O.upf
Er 167.26 Er.upf
Sm 150.36 Sm.upf
CELL_PARAMETERS angstrom
-2.166 -1.613 3.348
2.632 -3.402 0.063
5.290 4.194 5.444
ATOMIC_POSITIONS angstrom
P 5.062 1.269 3.887
O 0.000 0.000 0.000
P 0.461 0.417 3.263
Er 1.820 -1.301 0.551
Sm 2.645 2.097 2.722
Sm 2.878 -0.411 4.428
O 0.233 -2.508 1.706
Er 3.703 2.987 6.599
```

Output
Calculated total energy ... -53.91 eV/cell
SG ... No. 129

2.
A geometry-optimized Cu2Ag3 structure. Source: OQMD, functional PBE. Values from VASP.

Quantum ESPRESSO input file:
```
&SYSTEM
  ibrav = 0, nat = 10, ntyp = 2
/
ATOMIC_SPECIES
Ag 107.87 Ag.upf
Cu 63.55 Cu.upf
CELL_PARAMETERS angstrom
2.886 0.000 0.000
0.000 2.886 0.000
0.000 0.000 18.585
ATOMIC_POSITIONS angstrom
Ag 0.000 0.000 14.668
Ag 1.443 1.443 16.786
Cu 1.443 1.443 9.292
Ag 1.443 1.443 12.547
Ag 1.443 1.443 1.799
Cu 0.000 0.000 10.734
Cu 0.000 0.000 7.850
Ag 1.443 1.443 6.038
Ag 0.000 0.000 3.917
Cu 0.000 0.000 0.000
```

Output
Calculated total energy ... -31.31 eV/cell
SG ... No. 123